No. 1
Density functional theory data (PBE) for YPd3Au3 after structural relaxation.

* space-group type: No. 148
* ρ: 13.15 g/cm³
* distance to the lowest polymorph of the same formula: 0 meV per atom
* VASP energy: -5.0349 eV per atom
* DOS(E_F): 0.2946 states/eV/atom

abc: 6.5943 6.5943 6.5943
angles: 72.09 72.09 72.09
With the nearest neighbours (Å) after each atom.
Atoms (fractional coordinates):
1 Au 0.9550 0.1217 0.6807  5 Pd 2.81-2.99, 5 Au 2.92-3.08, 2 Y 2.95-3.13
2 Au 0.3193 0.0450 0.8783  5 Pd 2.81-2.99, 5 Au 2.92-3.08, 2 Y 2.95-3.13
3 Au 0.1217 0.6807 0.9550  5 Pd 2.81-2.99, 5 Au 2.92-3.08, 2 Y 2.95-3.13
4 Au 0.6807 0.9550 0.1217  5 Pd 2.81-2.99, 5 Au 2.92-3.08, 2 Y 2.95-3.13
5 Au 0.8783 0.3193 0.0450  5 Pd 2.81-2.99, 5 Au 2.92-3.08, 2 Y 2.95-3.13
6 Au 0.0450 0.8783 0.3193  5 Pd 2.81-2.99, 5 Au 2.92-3.08, 2 Y 2.95-3.13
7 Pd 0.1826 0.4647 0.6174  5 Au 2.81-2.99, 5 Pd 2.85-3.09, 2 Y 2.90-2.94
8 Pd 0.8174 0.5353 0.3826  5 Au 2.81-2.99, 5 Pd 2.85-3.09, 2 Y 2.90-2.94
9 Pd 0.4647 0.6174 0.1826  5 Au 2.81-2.99, 5 Pd 2.85-3.09, 2 Y 2.90-2.94
10 Pd 0.6174 0.1826 0.4647  5 Au 2.81-2.99, 5 Pd 2.85-3.09, 2 Y 2.90-2.94
11 Pd 0.3826 0.8174 0.5353  5 Au 2.81-2.99, 5 Pd 2.85-3.09, 2 Y 2.90-2.94
12 Pd 0.5353 0.3826 0.8174  5 Au 2.81-2.99, 5 Pd 2.85-3.09, 2 Y 2.90-2.94
13 Y 0.2603 0.2603 0.2603  6 Pd 2.90-2.94, 6 Au 2.95-3.13
14 Y 0.7397 0.7397 0.7397  6 Pd 2.90-2.94, 6 Au 2.95-3.13

***

No. 2
Density functional theory data (PBE) for Tm4GaBi3 after structural relaxation.

* space-group type: No. 59
* ρ: 7.99 g/cm³
* VASP energy: -4.4055 eV per atom
* DOS(E_F): 0.8622 states/eV/atom

abc: 6.0877 9.6558 9.7072
angles: 90.00 90.00 90.00
With the nearest neighbours (Å) after each atom.
Atoms (fractional coordinates):
1 Tm 0.0644 0.3341 0.7785  1 Ga 2.90, 4 Bi 3.05-3.11
2 Tm 0.5644 0.6659 0.7215  1 Ga 2.90, 4 Bi 3.05-3.11
3 Tm 0.5648 0.1416 0.0000  2 Ga 3.04-3.05, 3 Bi 3.06
4 Tm 0.0641 0.8312 0.0000  1 Ga 2.90, 4 Bi 3.04-3.10
5 Tm 0.5641 0.1688 0.5000  1 Ga 2.90, 4 Bi 3.04-3.10
6 Tm 0.5644 0.6659 0.2785  1 Ga 2.90, 4 Bi 3.05-3.11
7 Tm 0.0648 0.8584 0.5000  2 Ga 3.04-3.05, 3 Bi 3.06
8 Tm 0.0644 0.3341 0.2215  1 Ga 2.90, 4 Bi 3.05-3.11
9 Ga 0.0648 0.1320 0.0000  5 Tm 2.90-3.05
10 Ga 0.5648 0.8680 0.5000  5 Tm 2.90-3.05
11 Bi 0.0643 0.6494 0.2634  5 Tm 3.05-3.10
12 Bi 0.0643 0.6494 0.7366  5 Tm 3.05-3.10
13 Bi 0.5643 0.3506 0.7634  5 Tm 3.05-3.10
14 Bi 0.5641 0.8245 0.0000  5 Tm 3.04-3.11
15 Bi 0.0641 0.1755 0.5000  5 Tm 3.04-3.11
16 Bi 0.5643 0.3506 0.2366  5 Tm 3.05-3.10

***

No. 3
Density functional theory data (PBE) for LiHg5Bi2 after structural relaxation.

* space-group type: No. 12
* ρ: 11.24 g/cm³
* VASP energy: -1.4452 eV per atom
* DOS(E_F): 0.3132 states/eV/atom

abc: 4.4453 4.4457 11.1378
angles: 101.74 101.51 90.00
With the nearest neighbours (Å) after each atom.
Atoms (fractional coordinates):
1 Hg 0.6083 0.1086 0.2165  6 Hg 3.14-3.21, 2 Li 3.21, 2 Bi 3.36-3.38
2 Hg 0.8918 0.3907 0.7835  6 Hg 3.14-3.21, 2 Li 3.20-3.21, 2 Bi 3.37
3 Hg 0.5000 0.5000 0.0000  4 Li 3.14, 8 Hg 3.20-3.21
4 Hg 0.1082 0.6093 0.2165  6 Hg 3.14-3.21, 2 Li 3.20-3.21, 2 Bi 3.37
5 Hg 0.3917 0.8914 0.7835  6 Hg 3.14-3.21, 2 Li 3.21, 2 Bi 3.36-3.38
6 Bi 0.2733 0.2743 0.5466  4 Bi 3.29-3.30, 4 Hg 3.36-3.38
7 Bi 0.7267 0.7257 0.4534  4 Bi 3.29-3.30, 4 Hg 3.36-3.38
8 Li 0.0000 0.0000 0.0000  12 Hg 3.14-3.21

***

No. 4
Density functional theory data (PBE) for AsOs2Pb after structural relaxation.

* space-group type: No. 123
* ρ: 16.33 g/cm³
* distance to the lowest polymorph of the same formula: 342 meV per atom
* VASP energy: -6.9626 eV per atom
* DOS(E_F): 0.5274 states/eV/atom

abc: 3.1266 3.1266 6.8932
angles: 90.00 90.00 90.00
With the nearest neighbours (Å) after each atom.
Atoms (fractional coordinates):
1 Os 0.0000 0.0000 0.5416  4 As 2.64, 1 Os 2.87
2 Os 0.0000 0.0000 0.9584  4 As 2.64, 1 Os 2.87
3 As 0.5000 0.5000 0.7500  8 Os 2.64
4 Pb 0.5000 0.5000 0.2500  8 Os 2.99, 4 Pb 3.13